# 1
{"formula": "CaAcDy2Hg4", "functional": "GGA-PBE", "state": "relaxed", "formation_enthalpy_0k_ev_per_atom": -0.477, "magmom_total_mub_per_atom": 0.000, "lattice": [[2.6637, 1.5379, 9.1360], [-2.6637, 1.5379, 9.1360], [0.0000, -3.0758, 9.1360]], "species": ["Ca", "Ac", "Dy", "Dy", "Hg", "Hg", "Hg", "Hg"], "fractional_positions": [[0.0000, 0.0000, 0.0000], [0.5000, 0.5000, 0.5000], [0.2560, 0.2560, 0.2560], [0.7440, 0.7440, 0.7440], [0.1162, 0.1162, 0.1162], [0.3730, 0.3730, 0.3730], [0.6270, 0.6270, 0.6270], [0.8838, 0.8838, 0.8838]]}


# 2
{"formula": "Dy2ZnNi9", "functional": "GGA-PBE", "state": "relaxed", "formation_enthalpy_0k_ev_per_atom": -0.217, "magmom_total_mub_per_atom": 0.179, "lattice": [[2.4472, 1.4129, 8.0263], [-2.4472, 1.4129, 8.0263], [0.0000, -2.8258, 8.0263]], "species": ["Dy", "Dy", "Zn", "Ni", "Ni", "Ni", "Ni", "Ni", "Ni", "Ni", "Ni", "Ni"], "fractional_positions": [[0.1347, 0.1347, 0.1347], [0.8653, 0.8653, 0.8653], [0.0000, 0.0000, 0.0000], [0.0803, 0.5819, 0.5819], [0.3330, 0.3330, 0.3330], [0.4181, 0.4181, 0.9197], [0.4181, 0.9197, 0.4181], [0.5000, 0.5000, 0.5000], [0.5819, 0.0803, 0.5819], [0.5819, 0.5819, 0.0803], [0.6670, 0.6670, 0.6670], [0.9197, 0.4181, 0.4181]]}


# 3
{"formula": "KSeO2", "functional": "GGA-PBE", "state": "relaxed", "raw_formation_energy_ev_per_atom": -0.35, "magmom_total_mub_per_atom": 0.000, "lattice": [[1.7223, 0.9944, 6.7309], [-1.7223, 0.9944, 6.7309], [0.0000, -1.9887, 6.7309]], "species": ["K", "Se", "O", "O"], "fractional_positions": [[0.0000, 0.0000, 0.0000], [0.5000, 0.5000, 0.5000], [0.1201, 0.1201, 0.1201], [0.8799, 0.8799, 0.8799]]}


# 4
{"formula": "BaNi3", "functional": "GGA-PBE", "state": "relaxed", "formation_enthalpy_0k_ev_per_atom": 0.507, "magmom_total_mub_per_atom": 0.241, "lattice": [[-2.0179, 2.8584, 3.6197], [2.0179, -2.8584, 3.6197], [2.0179, 2.8584, -3.6197]], "species": ["Ba", "Ni", "Ni", "Ni"], "fractional_positions": [[0.0000, 0.0000, 0.0000], [0.3373, 0.8373, 0.5000], [0.5000, 0.5000, 0.0000], [0.6627, 0.1627, 0.5000]]}


# 5
{"formula": "Dy4CdTc", "functional": "GGA-PBE", "state": "relaxed", "formation_enthalpy_0k_ev_per_atom": 0.044, "polymorph_energy_kj_per_mol_atoms": 22.30, "magmom_total_mub_per_atom": 0.000, "lattice": [[4.6628, -2.6914, 0.0000], [4.6628, 2.6914, 0.0000], [-3.0993, 0.0000, 6.6665]], "species": ["Dy", "Dy", "Dy", "Dy", "Cd", "Tc"], "fractional_positions": [[0.1266, 0.1266, 0.3796], [0.3262, 0.3262, 0.9785], [0.6738, 0.6738, 0.0215], [0.8734, 0.8734, 0.6204], [0.5000, 0.5000, 0.5000], [0.0000, 0.0000, 0.0000]]}


# 6
{"formula": "Zr2NbTe", "functional": "GGA-PBE", "state": "relaxed", "raw_formation_energy_ev_per_atom": -0.37, "magmom_total_mub_per_atom": 0.000, "lattice": [[3.6886, 0.0000, 0.0000], [0.0000, 3.6886, 0.0000], [0.0000, 0.0000, 6.3217]], "species": ["Zr", "Zr", "Nb", "Te"], "fractional_positions": [[0.0000, 0.0000, 0.2409], [0.0000, 0.0000, 0.7591], [0.5000, 0.5000, 0.0000], [0.5000, 0.5000, 0.5000]]}


# 7
{"formula": "ZrZnAg", "functional": "GGA-PBE", "state": "relaxed", "formation_enthalpy_0k_ev_per_atom": -0.142, "magmom_total_mub_per_atom": 0.000, "lattice": [[5.5055, -1.6185, 0.0000], [5.5055, 1.6185, 0.0000], [-4.4299, 0.0000, 6.2513]], "species": ["Zr", "Zr", "Zn", "Zn", "Ag", "Ag"], "fractional_positions": [[0.1035, 0.1035, 0.3381], [0.8965, 0.8965, 0.6619], [0.3687, 0.3687, 0.3307], [0.6313, 0.6313, 0.6693], [0.3512, 0.3512, 0.9597], [0.6488, 0.6488, 0.0403]]}


# 8
{"formula": "Li2ScMo", "functional": "GGA-PBE", "state": "relaxed", "formation_enthalpy_0k_ev_per_atom": 0.443, "polymorph_energy_kj_per_mol_atoms": 20.93, "magmom_total_mub_per_atom": 0.000, "lattice": [[2.6548, 0.0000, 0.0000], [0.0000, 4.9906, 0.0000], [0.0000, 0.0000, 5.3151]], "species": ["Li", "Li", "Sc", "Mo"], "fractional_positions": [[0.0000, 0.0000, 0.2232], [0.0000, 0.0000, 0.7768], [0.5000, 0.5000, 0.5000], [0.5000, 0.5000, 0.0000]]}